Record 1
A relaxed structure of GdYLu. Source: Alexandria via LeMat-Bulk, functional GGA-PBE.

Unit cell a=3.473 b=5.597 c=5.597 alpha=120.00 beta=90.00 gamma=90.00
Each line ends with the local moment (μB).
Fractional positions:
Y1 0.667 0.667 0.333  -0.11
Gd1 0.166 0.000 0.000  -7.28
Lu1 0.168 0.333 0.667  -0.14

Values from the calculation:
Space-group type: P-6m2 (187)
Density of states at the Fermi level, states/eV/f.u.: 5.449
E above lowest polymorph, meV/atom: 36
Size of the total moment, μB/cell: 8.1
Energy relative to the elements, meV per atom: 67
Theoretical density, g cm⁻³: 7.422
Electronic total energy, eV for the cell shown: -24.87

=====

Record 2
A relaxed structure of KVSi. Source: Alexandria via LeMat-Bulk, functional GGA-PBE.

Unit cell a=3.421 b=4.539 c=11.702 alpha=80.75 beta=88.54 gamma=67.83
Fractional positions:
K1 0.302 0.842 0.312
K2 0.698 0.158 0.688
Si1 0.043 0.431 0.900
Si2 0.957 0.569 0.100
V1 0.659 0.174 0.046
V2 0.341 0.826 0.954

Values from the calculation:
Space-group type: P-1 (2)
Density of states at the Fermi level, states/eV/f.u.: 2.472
E above lowest polymorph, meV/atom: 18
Size of the total moment, μB/cell: 0.0
Theoretical density, g cm⁻³: 2.364
Electronic total energy, eV for the cell shown: -31.06
Raw formation energy, eV/f.u.: 0.11